Entry 1:
La2FeW after structural relaxation, computed with GGA-PBE.

Results
For the calculated volume, the calculation gives 23.25 Å³ per atom. The value obtained for the distance to the lowest polymorph of the same formula is 2.31 eV/f.u.

Unit cell a=9.158 b=9.158 c=9.158 alpha=21.82 beta=21.82 gamma=21.82
Site moments in Bohr magnetons follow the coordinates.
Element x y z (fractional)
La (0.496, 0.496, 0.496)  0.09
Fe (0.750, 0.750, 0.750)  -2.16
La (0.004, 0.004, 0.004)  0.09
W (0.250, 0.250, 0.250)  -0.86

***

Entry 2:
LaFe2W2 after structural relaxation, computed with GGA-PBE.

Results
For the calculated volume, the calculation gives 18.20 Å³ per atom. The value obtained for the distance to the lowest polymorph of the same formula is 0.00 eV/f.u.

Unit cell a=4.216 b=4.216 c=5.924 alpha=69.15 beta=69.15 gamma=90.00
Element x y z (fractional)
Fe (0.368, 0.368, 0.264)
Fe (0.632, 0.632, 0.736)
W (0.250, 0.750, 0.500)
La (0.000, 0.000, 0.000)
W (0.750, 0.250, 0.500)

***

Entry 3:
La4FeW after structural relaxation, computed with GGA-PBE.

Results
For the calculated volume, the calculation gives 28.08 Å³ per atom. Its total energy is -33.6 eV for the cell shown.

Unit cell a=6.200 b=6.200 c=6.200 alpha=60.00 beta=60.00 gamma=60.00
Site moments in Bohr magnetons follow the coordinates.
Element x y z (fractional)
W (0.750, 0.750, 0.750)  -1.38
La (0.375, 0.375, 0.375)  0.20
La (0.375, 0.375, 0.874)  0.20
Fe (0.000, 0.000, 0.000)  -3.09
La (0.874, 0.375, 0.375)  0.20
La (0.375, 0.874, 0.375)  0.20